Below is crystalline Nd4I6N at its relaxed geometry, with properties calculated at the PBE level.

Properties
Magnetic moment   3.08 μB per cell
Formation energy (no corrections)   -1.20 eV per atom
Electronic total energy   -4.539 eV/atom

a b c (Å): 8.5438 10.0755 10.0755
angles (deg): 120.00 90.00 90.00
Each line ends with the local moment (μB).
Positions (direct):
Nd  0.9983  0.6667  0.3333  0.35
Nd  0.8188  0.2048  0.7952  0.16
Nd  0.8188  0.2048  0.4096  0.16
Nd  0.3188  0.4096  0.2048  0.16
Nd  0.3188  0.7952  0.2048  0.16
Nd  0.8188  0.5904  0.7952  0.16
Nd  0.3188  0.7952  0.5904  0.16
Nd  0.4983  0.3333  0.6667  0.35
I  0.6348  0.9440  0.4720  0.00
I  0.4507  0.1364  0.2728  0.00
I  0.9507  0.2728  0.1364  0.00
I  0.6348  0.5280  0.4720  0.00
I  0.1348  0.0560  0.5280  0.00
I  0.6348  0.5280  0.0560  0.00
I  0.4507  0.1364  0.8636  0.00
I  0.4507  0.7272  0.8636  0.00
I  0.1348  0.4720  0.9440  0.00
I  0.9507  0.8636  0.7272  0.00
I  0.1348  0.4720  0.5280  0.00
I  0.9507  0.8636  0.1364  0.00
N  0.7811  0.3333  0.6667  -0.03
N  0.2811  0.6667  0.3333  -0.03

---

Below is crystalline Nd2I2N at its relaxed geometry, with properties calculated at the PBE level.

Properties
Magnetic moment   0.00 μB per cell
Formation energy (no corrections)   -1.11 eV per atom
Electronic total energy   -5.306 eV/atom

a b c (Å): 3.6475 7.3970 11.4625
angles (deg): 90.00 90.00 104.27
Positions (direct):
I  0.1024  0.2047  0.6481
I  0.6572  0.3144  0.3317
I  0.8976  0.7953  0.1481
I  0.3428  0.6856  0.8317
Nd  0.0317  0.0635  0.9162
Nd  0.2079  0.4157  0.0908
Nd  0.9683  0.9365  0.4162
Nd  0.7921  0.5843  0.5908
N  0.6205  0.2411  0.9985
N  0.3795  0.7589  0.4985

---

Below is crystalline Nd2IN2 at its relaxed geometry, with properties calculated at the PBE level.

Properties
Magnetic moment   0.00 μB per cell
Formation energy (no corrections)   -0.99 eV per atom
Electronic total energy   -6.540 eV/atom

a b c (Å): 4.2201 6.7275 8.0437
angles (deg): 100.05 105.21 90.00
Positions (direct):
Nd  0.4876  0.6485  0.3345
Nd  0.8469  0.1485  0.3345
Nd  0.5124  0.3515  0.6655
Nd  0.1531  0.8515  0.6655
N  0.3620  0.0273  0.4386
N  0.0766  0.5273  0.4386
N  0.6380  0.9727  0.5614
N  0.9234  0.4727  0.5614
I  0.7678  0.7500  0.0000
I  0.2322  0.2500  0.0000

---

Below is crystalline Nd4I2N at its relaxed geometry, with properties calculated at the PBE level.

Properties
Magnetic moment   0.00 μB per cell
Formation energy (no corrections)   -0.64 eV per atom
Electronic total energy   -4.997 eV/atom

a b c (Å): 4.9002 4.9002 8.8741
angles (deg): 73.97 73.97 90.00
Positions (direct):
Nd  0.1601  0.1601  0.6797
Nd  0.5000  0.0000  0.0000
Nd  0.8399  0.8399  0.3203
Nd  0.0000  0.5000  0.0000
I  0.3593  0.3593  0.2814
I  0.6407  0.6407  0.7186
N  0.0000  0.0000  0.0000